Record 1
A plane-wave DFT calculation with GGA-PBE was carried out for a relaxed TcSbO2 crystal.

Computed properties:
raw total energy = -6.49 eV/atom
raw formation energy = -389 meV/atom
total magnetization = 0.00 μB/f.u.

```
data_TcSbO2
_symmetry_space_group_name_H-M 'I -4 2 d'
_symmetry_Int_Tables_number 122
_symmetry_space_group_name_Hall 'I -4 2bw'
_cell_length_a 6.031
_cell_length_b 6.031
_cell_length_c 8.566
_cell_angle_alpha 90.00
_cell_angle_beta 90.00
_cell_angle_gamma 90.00
loop_
_atom_site_label
_atom_site_fract_x
_atom_site_fract_y
_atom_site_fract_z
Tc1 0.000 0.000 0.000
Sb1 0.000 0.000 0.500
O1 0.018 0.250 0.125
```


Record 2
A plane-wave DFT calculation with GGA-PBE was carried out for a relaxed SbIrBr crystal.

Computed properties:
raw total energy = -4.88 eV/atom
excess energy over the best structure of this formula in the dataset = 13 kJ/mol of formula units
raw formation energy = 1 meV/atom
total magnetization = 0.00 μB/f.u.

```
data_SbIrBr
_symmetry_space_group_name_H-M 'P 3 m 1'
_symmetry_Int_Tables_number 156
_symmetry_space_group_name_Hall 'P 3 -2"'
_cell_length_a 3.9141
_cell_length_b 3.9141
_cell_length_c 5.5991
_cell_angle_alpha 90.00
_cell_angle_beta 90.00
_cell_angle_gamma 120.00
loop_
_atom_site_label
_atom_site_fract_x
_atom_site_fract_y
_atom_site_fract_z
Sb1 0.0000 0.0000 0.0000
Ir1 0.3333 0.6667 0.7779
Br1 0.6667 0.3333 0.4936
```


Record 3
A plane-wave DFT calculation with GGA-PBE was carried out for a relaxed NaCd12Ag4 crystal.

Computed properties:
raw total energy = -1.25 eV/atom
total magnetization = 0.00 μB/f.u.

```
data_NaCd12Ag4
_symmetry_space_group_name_H-M 'I m -3'
_symmetry_Int_Tables_number 204
_symmetry_space_group_name_Hall '-I 2 2 3'
_cell_length_a 9.707
_cell_length_b 9.707
_cell_length_c 9.707
_cell_angle_alpha 90.00
_cell_angle_beta 90.00
_cell_angle_gamma 90.00
loop_
_atom_site_label
_atom_site_fract_x
_atom_site_fract_y
_atom_site_fract_z
Na1 0.000 0.000 0.000
Cd1 0.000 0.153 0.348
Ag1 0.250 0.250 0.250
```


Record 4
A plane-wave DFT calculation with GGA-PBE was carried out for a relaxed CsRb2NdBr6 crystal.

Computed properties:
raw total energy = -3.60 eV/atom
raw formation energy = -1842 meV/atom
total magnetization = 0.00 μB/f.u.

```
data_CsRb2NdBr6
_symmetry_space_group_name_H-M 'P 1 21/c 1'
_symmetry_Int_Tables_number 14
_symmetry_space_group_name_Hall '-P 2ybc'
_cell_length_a 8.348
_cell_length_b 8.934
_cell_length_c 14.324
_cell_angle_alpha 90.00
_cell_angle_beta 124.01
_cell_angle_gamma 90.00
loop_
_atom_site_label
_atom_site_fract_x
_atom_site_fract_y
_atom_site_fract_z
Cs1 0.000 0.000 0.000
Rb1 0.209 0.076 0.740
Nd1 0.500 0.000 0.500
Br1 0.161 0.173 0.440
Br2 0.256 0.732 0.412
Br3 0.425 0.071 0.280
```